A relaxed Cs5NbO4F2 crystal. Source: the Alexandria database, functional PBE.

Properties
The value obtained for the total energy is -5.45 eV/atom. As for the theoretical density: 4.28 Mg/m³. As for the space group: Amm2, No. 38.

abc: 7.0712 6.5986 8.4684
angles: 90.00 90.00 122.40
Sites, in units of the cell vectors:
Cs 0.0806 0.3631 0.2363
Cs 0.4093 0.0000 0.5000
Cs 0.0806 0.3631 0.7637
Cs 0.7175 0.6369 0.7637
Cs 0.7175 0.6369 0.2363
Nb 0.4131 0.0000 0.0000
O 0.5702 0.0000 0.1807
O 0.5702 0.0000 0.8193
O 0.3965 0.2764 0.0000
O 0.1201 0.7236 0.0000
F 0.9509 0.5718 0.5000
F 0.3792 0.4282 0.5000

A relaxed CaEu3Pt crystal. Source: the Alexandria database, functional PBE.

Properties
As for the formation energy: -2.19 eV per formula unit. As for the theoretical density: 5.86 Mg/m³. As for the space group: Pm-3m, No. 221.

abc: 5.8072 5.8072 5.8072
angles: 90.00 90.00 90.00
Last column: magnetic moment on the atom in μB.
Sites, in units of the cell vectors:
Eu 0.0000 0.5000 0.0000  6.88
Eu 0.0000 0.0000 0.5000  6.88
Eu 0.5000 0.0000 0.0000  6.88
Ca 0.5000 0.5000 0.5000  0.05
Pt 0.0000 0.0000 0.0000  -0.11

A relaxed KTl3As crystal. Source: the Alexandria database, functional PBE.

Properties
As for the formation energy: 4.25 eV per formula unit. As for the theoretical density: 5.66 Mg/m³. As for the space group: Pm-3m, No. 221.

abc: 5.9739 5.9739 5.9739
angles: 90.00 90.00 90.00
Sites, in units of the cell vectors:
K 0.0000 0.0000 0.0000
Tl 0.0000 0.5000 0.0000
Tl 0.0000 0.0000 0.5000
Tl 0.5000 0.0000 0.0000
As 0.5000 0.5000 0.5000

A relaxed La2DySb3Pd4 crystal. Source: the Alexandria database, functional PBE.

Properties
The value obtained for the total energy is -5.72 eV/atom. As for the theoretical density: 8.57 Mg/m³. As for the space group: P-4m2, No. 115.

abc: 4.5478 4.5478 11.5294
angles: 90.00 90.00 90.00
Sites, in units of the cell vectors:
La 0.5000 0.0000 0.2144
La 0.0000 0.5000 0.7856
Dy 0.5000 0.5000 0.5000
Sb 0.0000 0.0000 0.5000
Sb 0.5000 0.0000 0.8703
Sb 0.0000 0.5000 0.1297
Pd 0.5000 0.5000 0.0000
Pd 0.0000 0.0000 0.0000
Pd 0.5000 0.0000 0.6431
Pd 0.0000 0.5000 0.3569